Record 1
Ce3PrCo | PBE | relaxed Values from VASP.

Geometry as Quantum ESPRESSO input:
```
&SYSTEM
  ibrav = 0, nat = 5, ntyp = 3
/
ATOMIC_SPECIES
Pr 140.91 Pr.upf
Co 58.93 Co.upf
Ce 140.12 Ce.upf
CELL_PARAMETERS angstrom
5.257 0.000 0.000
0.000 5.257 0.000
0.000 0.000 5.257
ATOMIC_POSITIONS crystal
Pr 0.500 0.500 0.500
Co 0.000 0.000 0.000
Ce 0.000 0.500 0.000
Ce 0.500 0.000 0.000
Ce 0.000 0.000 0.500
```

Summary:
For the formation energy from the elements, the calculation gives 0.066 eV per atom. As for the volume: 145 Å³ per cell. Its density of states at the Fermi level is 3.159 states/eV per atom.


Record 2
Ca2PaAg3S6 | PBE | relaxed Values from VASP.

Geometry as Quantum ESPRESSO input:
```
&SYSTEM
  ibrav = 0, nat = 12, ntyp = 4
/
ATOMIC_SPECIES
S 32.06 S.upf
Ag 107.87 Ag.upf
Ca 40.08 Ca.upf
Pa 231.04 Pa.upf
CELL_PARAMETERS angstrom
7.148 -0.069 0.328
-3.632 6.157 0.328
-0.897 -1.554 6.196
ATOMIC_POSITIONS crystal
S 0.955 0.644 0.772
Ag 0.875 0.125 0.500
Ag 0.500 0.500 0.500
Ca 0.330 0.670 0.000
S 0.281 0.281 0.772
S 0.644 0.955 0.772
Pa 0.000 0.000 0.000
S 0.356 0.045 0.228
Ca 0.670 0.330 0.000
Ag 0.125 0.875 0.500
S 0.045 0.356 0.228
S 0.719 0.719 0.228
```

Summary:
As for the volume: 278 Å³ per cell. The value obtained for the uncorrected formation energy is -1368 kJ/mol of formula units.


Record 3
NpCuCl2 | PBE | relaxed Values from VASP.

Geometry as Quantum ESPRESSO input:
```
&SYSTEM
  ibrav = 0, nat = 4, ntyp = 3
/
ATOMIC_SPECIES
Cu 63.55 Cu.upf
Cl 35.45 Cl.upf
Np 237.00 Np.upf
CELL_PARAMETERS angstrom
-0.463 3.335 0.639
-2.104 1.847 -1.977
-7.313 -0.149 4.673
ATOMIC_POSITIONS crystal
Cu 0.500 0.500 0.500
Cl 0.893 0.893 0.321
Cl 0.107 0.107 0.679
Np 0.000 0.000 0.000
```

Summary:
As for the volume: 86 Å³ per cell. Its density of states at the Fermi level is 0.713 states/eV per atom. The value obtained for the uncorrected formation energy is -130 kJ/mol of formula units.


Record 4
Pm3ThSc2Te6 | PBE | relaxed Values from VASP.

Geometry as Quantum ESPRESSO input:
```
&SYSTEM
  ibrav = 0, nat = 12, ntyp = 4
/
ATOMIC_SPECIES
Sc 44.96 Sc.upf
Te 127.60 Te.upf
Th 232.04 Th.upf
Pm 145.00 Pm.upf
CELL_PARAMETERS angstrom
-1.084 4.173 0.260
-8.534 -2.254 0.610
3.121 -1.984 8.980
ATOMIC_POSITIONS crystal
Sc 0.166 0.335 0.332
Te 0.327 0.424 0.655
Te 0.012 0.260 0.023
Sc 0.834 0.665 0.668
Th 0.500 0.000 0.000
Pm 0.155 0.837 0.309
Te 0.673 0.576 0.345
Te 0.988 0.740 0.977
Pm 0.845 0.163 0.691
Te 0.673 0.107 0.346
Te 0.327 0.893 0.654
Pm 0.500 0.500 0.000
```

Summary:
As for the volume: 355 Å³ per cell. Its density of states at the Fermi level is 0.640 states/eV per atom. The value obtained for the uncorrected formation energy is -1417 kJ/mol of formula units.


Record 5
NaIr2Pb2 | PBE | relaxed Values from VASP.

Geometry as Quantum ESPRESSO input:
```
&SYSTEM
  ibrav = 0, nat = 5, ntyp = 3
/
ATOMIC_SPECIES
Pb 207.20 Pb.upf
Ir 192.22 Ir.upf
Na 22.99 Na.upf
CELL_PARAMETERS angstrom
-1.799 -3.179 1.518
3.046 -0.548 2.463
-2.894 2.688 7.353
ATOMIC_POSITIONS crystal
Pb 0.373 0.373 0.254
Ir 0.250 0.750 0.500
Ir 0.750 0.250 0.500
Pb 0.627 0.627 0.746
Na 0.000 0.000 0.000
```

Summary:
For the formation energy from the elements, the calculation gives 0.210 eV per atom. As for the volume: 123 Å³ per cell. Its density of states at the Fermi level is 0.539 states/eV per atom. The calculation puts the energy above the most stable polymorph in this dataset at 0.0000 eV per atom.


Record 6
Mg2Zn3MoN6 | PBE | relaxed Values from VASP.

Geometry as Quantum ESPRESSO input:
```
&SYSTEM
  ibrav = 0, nat = 12, ntyp = 4
/
ATOMIC_SPECIES
Mg 24.30 Mg.upf
N 14.01 N.upf
Mo 95.94 Mo.upf
Zn 65.41 Zn.upf
CELL_PARAMETERS angstrom
-0.780 0.060 5.391
-4.028 -1.186 -3.470
2.509 -4.503 -0.286
ATOMIC_POSITIONS crystal
Mg 0.330 0.670 0.000
N 0.751 0.751 0.226
Mo 0.000 0.000 0.000
N 0.070 0.385 0.243
Zn 0.500 0.500 0.500
N 0.249 0.249 0.774
N 0.385 0.070 0.243
Zn 0.827 0.173 0.500
N 0.615 0.930 0.757
Zn 0.173 0.827 0.500
N 0.930 0.615 0.757
Mg 0.670 0.330 0.000
```

Summary:
As for the volume: 125 Å³ per cell. Its density of states at the Fermi level is 0.644 states/eV per atom. The value obtained for the uncorrected formation energy is 39 kJ/mol of formula units.


Calculated values (μB per formula unit) of size of the total moment for the records, taken in order: 1.5; 0.0; 4.5; 0.0; 0.0; 0.0.
Calculated values (g/cm³) of density for the records, taken in order: 7.09; 4.93; 7.17; 7.13; 11.09; 5.64.